# La4PtAu

An optimized crystal structure of La4PtAu (PBE, Alexandria).

Unit cell a=7.422 b=7.299 c=8.880 alpha=109.12 beta=109.63 gamma=101.52
Fractional coordinates of all 12 atoms:
La  0.784  0.031  0.568
La  0.957  0.282  0.058
La  0.043  0.718  0.942
La  0.717  0.464  0.432
La  0.216  0.969  0.432
La  0.601  0.777  0.058
La  0.283  0.536  0.568
La  0.399  0.223  0.942
Pt  0.913  0.163  0.327
Pt  0.087  0.837  0.673
Au  0.620  0.370  0.740
Au  0.380  0.630  0.260

Calculated values
M_tot (μB per cell): 0.0
DOS at the Fermi energy (states/eV per cell): 17.24
VASP energy (eV/f.u.): -32.7
Space-group type: C2/c, No. 15

***

# AlH2N

An optimized crystal structure of AlH2N (PBE, Alexandria).

Unit cell a=3.254 b=3.254 c=3.254 alpha=60.00 beta=60.00 gamma=60.00
Fractional coordinates of all 4 atoms:
N  0.000  0.000  0.000
Al  0.500  0.500  0.500
H  0.250  0.250  0.250
H  0.750  0.750  0.750

Calculated values
M_tot (μB per cell): 0.0
DOS at the Fermi energy (states/eV per cell): 0.82
VASP energy (eV/f.u.): -15.1
Space-group type: Fm-3m, No. 225

***

# TbEr5Sc2In

An optimized crystal structure of TbEr5Sc2In (PBE, Alexandria).

Unit cell a=5.242 b=10.056 c=10.404 alpha=90.00 beta=90.00 gamma=105.11
Fractional coordinates of all 18 atoms:
Er  0.709  0.418  0.806
Er  0.709  0.418  0.211
Er  0.291  0.582  0.306
Er  0.500  0.000  0.258
Er  0.621  0.242  0.508
Er  0.291  0.582  0.711
Er  0.379  0.758  0.008
Er  0.500  0.000  0.758
Er  0.992  0.984  0.508
Er  0.008  0.016  0.008
Sc  0.116  0.232  0.721
Sc  0.884  0.768  0.221
Sc  0.116  0.232  0.296
Sc  0.884  0.768  0.796
In  0.593  0.186  0.008
In  0.407  0.814  0.508
Tb  0.798  0.597  0.508
Tb  0.202  0.403  0.008

Calculated values
M_tot (μB per cell): 0.0
DOS at the Fermi energy (states/eV per cell): 27.21
VASP energy (eV/f.u.): -42.6
Space-group type: Cmcm, No. 63

***

# TbEr2Sc5

An optimized crystal structure of TbEr2Sc5 (PBE, Alexandria).

Unit cell a=6.690 b=6.690 c=6.690 alpha=91.33 beta=119.24 gamma=119.24
Fractional coordinates of all 8 atoms:
Sc  0.000  0.278  0.778
Sc  0.000  0.278  0.278
Sc  0.500  0.778  0.778
Sc  0.500  0.278  0.278
Sc  0.000  0.778  0.278
Er  0.500  0.278  0.778
Er  0.500  0.778  0.278
Tb  0.000  0.778  0.778

Calculated values
M_tot (μB per cell): 0.0
DOS at the Fermi energy (states/eV per cell): 15.45
VASP energy (eV/f.u.): -45.0
Space-group type: I4/mmm, No. 139